1.
The following is a DFT calculation (PBE) of a relaxed structure of K2PbC2O6.

## Properties
**Uncorrected formation energy**: -1.5919 eV/atom

Lattice parameters (Å, degrees): 9.5514 5.5117 7.3658 90.00 115.63 90.00
Space group C2/m (No. 12)
One atom of each set of equivalent atoms:
K  0.2038  0.0000  0.1125 [4 per cell]
Pb  0.0000  0.0000  0.5000 [2 per cell]
C  0.0809  0.5000  0.2446 [4 per cell]
O  0.0116  0.2952  0.2415 [8 per cell]
O  0.2169  0.5000  0.2429 [4 per cell]

=====

2.
The following is a DFT calculation (PBE) of a relaxed structure of Sm2TmZr.

## Properties
**Energy above the lowest structure with this stoichiometry**: 102 meV/atom
**ΔH_f (0 K)**: 81 kJ/mol of formula units

Lattice parameters (Å, degrees): 7.8010 7.8010 7.8010 90.00 90.00 90.00
Space group Fm-3m (No. 225)
One atom of each set of equivalent atoms:
Sm  0.2500  0.2500  0.2500 [8 per cell]
Tm  0.0000  0.0000  0.0000 [4 per cell]
Zr  0.0000  0.0000  0.5000 [4 per cell]

=====

3.
The following is a DFT calculation (PBE) of a relaxed structure of YHo6Tm.

## Properties
**Energy above the lowest structure with this stoichiometry**: 0 meV/atom
**ΔH_f (0 K)**: 16 kJ/mol of formula units

Lattice parameters (Å, degrees): 4.9824 6.1071 9.3186 90.09 105.46 114.05
Space group P-1 (No. 2)
One atom of each set of equivalent atoms:
Y  0.0000  0.0000  0.0000 [1 per cell]
Ho  0.1258  0.8753  0.3761 [2 per cell]
Ho  0.2484  0.7480  0.7488 [2 per cell]
Ho  0.3758  0.6254  0.1262 [2 per cell]
Tm  0.5000  0.5000  0.5000 [1 per cell]

=====

4.
The following is a DFT calculation (PBE) of a relaxed structure of CoSe2Cl.

## Properties
**Energy above the lowest structure with this stoichiometry**: 392 meV/atom
**Uncorrected formation energy**: 0.1410 eV/atom

Lattice parameters (Å, degrees): 3.1903 3.1903 7.2544 90.00 90.00 90.00
Space group P4/mmm (No. 123)
One atom of each set of equivalent atoms:
Co  0.0000  0.0000  0.0000 [1 per cell]
Se  0.5000  0.5000  0.1718 [2 per cell]
Cl  0.0000  0.0000  0.5000 [1 per cell]

=====

5.
The following is a DFT calculation (PBE) of a relaxed structure of Zr2IrAu.

## Properties
**ΔH_f (0 K)**: -198 kJ/mol of formula units

Lattice parameters (Å, degrees): 9.9452 3.1443 4.9824 90.00 100.30 90.00
Space group Cm (No. 8)
One atom of each set of equivalent atoms:
Zr  0.0000  0.0000  0.0000 [2 per cell]
Zr  0.2254  0.0000  0.6563 [2 per cell]
Ir  0.2396  0.5000  0.1605 [2 per cell]
Au  0.4769  0.0000  0.4791 [2 per cell]

=====

6.
The following is a DFT calculation (PBE) of a relaxed structure of Cu5W3.

## Properties
**ΔH_f (0 K)**: 310 kJ/mol of formula units

Lattice parameters (Å, degrees): 7.6217 7.7702 3.6988 90.00 90.00 90.00
Space group Cmmm (No. 65)
One atom of each set of equivalent atoms:
Cu  0.0000  0.0000  0.0000 [2 per cell]
Cu  0.2365  0.0000  0.5000 [4 per cell]
Cu  0.2500  0.2500  0.0000 [4 per cell]
W  0.0000  0.2586  0.5000 [4 per cell]
W  0.0000  0.5000  0.0000 [2 per cell]

=====

7.
The following is a DFT calculation (PBE) of a relaxed structure of Ti3VI.

## Properties
**Energy above the lowest structure with this stoichiometry**: 0 meV/atom
**Uncorrected formation energy**: 0.7597 eV/atom

Lattice parameters (Å, degrees): 4.6917 4.6917 4.6917 90.00 90.00 90.00
Space group Pm-3m (No. 221)
One atom of each set of equivalent atoms:
Ti  0.0000  0.0000  0.5000 [3 per cell]
V  0.0000  0.0000  0.0000 [1 per cell]
I  0.5000  0.5000  0.5000 [1 per cell]

=====

8.
The following is a DFT calculation (PBE) of a relaxed structure of TaMoAu2.

## Properties
**Energy above the lowest structure with this stoichiometry**: 103 meV/atom
**ΔH_f (0 K)**: 51 kJ/mol of formula units

Lattice parameters (Å, degrees): 9.5818 2.7854 5.2060 90.00 97.83 90.00
Space group Cm (No. 8)
One atom of each set of equivalent atoms:
Ta  0.0000  0.0000  0.0000 [2 per cell]
Mo  0.2511  0.0000  0.7430 [2 per cell]
Au  0.0040  0.5000  0.5026 [2 per cell]
Au  0.2485  0.5000  0.2448 [2 per cell]

=====

9.
The following is a DFT calculation (PBE) of a relaxed structure of Al2Ag5Cl12.

## Properties
**Energy above the lowest structure with this stoichiometry**: 9 meV/atom
**Uncorrected formation energy**: -0.8313 eV/atom

Lattice parameters (Å, degrees): 15.2711 7.0799 9.4205 90.00 111.38 90.00
Space group C2/m (No. 12)
One atom of each set of equivalent atoms:
Al  0.0000  0.2441  0.0000 [4 per cell]
Ag  0.0000  0.0000  0.5000 [2 per cell]
Ag  0.1344  0.5000  0.7673 [4 per cell]
Ag  0.2310  0.5000  0.4476 [4 per cell]
Cl  0.0571  0.5000  0.1860 [4 per cell]
Cl  0.0599  0.0000  0.1868 [4 per cell]
Cl  0.1367  0.2432  0.9634 [8 per cell]
Cl  0.1451  0.2486  0.5715 [8 per cell]

=====

10.
The following is a DFT calculation (PBE) of a relaxed structure of ErMg4Sc.

## Properties
**Energy above the lowest structure with this stoichiometry**: 18 meV/atom
**ΔH_f (0 K)**: -10 kJ/mol of formula units

Lattice parameters (Å, degrees): 8.3720 8.3720 8.3720 90.00 90.00 90.00
Space group F-43m (No. 216)
One atom of each set of equivalent atoms:
Er  0.0000  0.0000  0.0000 [4 per cell]
Mg  0.1248  0.1248  0.3752 [16 per cell]
Sc  0.2500  0.2500  0.7500 [4 per cell]

=====

11.
The following is a DFT calculation (PBE) of a relaxed structure of PaZnH3.

Lattice parameters (Å, degrees): 6.2293 4.8147 7.0554 90.00 90.00 90.00
Space group Pnma (No. 62)
One atom of each set of equivalent atoms:
Pa  0.2311  0.2500  0.1147 [4 per cell]
Zn  0.0049  0.7500  0.2734 [4 per cell]
H  0.0836  0.2500  0.4018 [4 per cell]
H  0.1005  0.5388  0.8747 [8 per cell]

=====

12.
The following is a DFT calculation (PBE) of a relaxed structure of TiReSb2.

## Properties
**Energy above the lowest structure with this stoichiometry**: 0 meV/atom
**Uncorrected formation energy**: 0.1622 eV/atom

Lattice parameters (Å, degrees): 6.6715 6.6715 6.6715 90.00 90.00 90.00
Space group Fm-3m (No. 225)
One atom of each set of equivalent atoms:
Ti  0.0000  0.0000  0.0000 [4 per cell]
Re  0.0000  0.0000  0.5000 [4 per cell]
Sb  0.2500  0.2500  0.2500 [8 per cell]

=====

13.
The following is a DFT calculation (PBE) of a relaxed structure of SiMoS2Cl.

## Properties
**Energy above the lowest structure with this stoichiometry**: 0 meV/atom
**Uncorrected formation energy**: 0.3247 eV/atom

Lattice parameters (Å, degrees): 4.6776 4.6776 4.8684 90.00 90.00 90.00
Space group P4/mmm (No. 123)
One atom of each set of equivalent atoms:
Si  0.0000  0.0000  0.0000 [1 per cell]
Mo  0.5000  0.5000  0.5000 [1 per cell]
S  0.0000  0.5000  0.5000 [2 per cell]
Cl  0.5000  0.5000  0.0000 [1 per cell]

=====

14.
The following is a DFT calculation (PBE) of a relaxed structure of Nd6Y3Er2.

## Properties
**ΔH_f (0 K)**: 310 kJ/mol of formula units

Lattice parameters (Å, degrees): 4.8109 4.8109 33.6138 90.00 90.00 90.00
Space group I4/mmm (No. 139)
One atom of each set of equivalent atoms:
Nd  0.0000  0.0000  0.1955 [4 per cell]
Nd  0.0000  0.5000  0.1189 [8 per cell]
Y  0.0000  0.0000  0.2989 [4 per cell]
Y  0.0000  0.0000  0.5000 [2 per cell]
Er  0.0000  0.0000  0.0451 [4 per cell]

=====

15.
The following is a DFT calculation (PBE) of a relaxed structure of ZrTeCl.

## Properties
**Uncorrected formation energy**: -1.1598 eV/atom

Lattice parameters (Å, degrees): 3.7567 3.7567 7.3960 90.00 90.00 120.00
Space group P3m1 (No. 156)
One atom of each set of equivalent atoms:
Zr  0.0000  0.0000  0.0000 [1 per cell]
Te  0.3333  0.6667  0.7474 [1 per cell]
Cl  0.6667  0.3333  0.2173 [1 per cell]

=====

16.
The following is a DFT calculation (PBE) of a relaxed structure of La2InGa3Ir4.

## Properties
**ΔH_f (0 K)**: -636 kJ/mol of formula units

Lattice parameters (Å, degrees): 4.3419 4.3419 10.6316 90.00 90.00 90.00
Space group P-4m2 (No. 115)
One atom of each set of equivalent atoms:
La  0.0000  0.5000  0.2325 [2 per cell]
In  0.0000  0.0000  0.5000 [1 per cell]
Ga  0.0000  0.5000  0.8802 [2 per cell]
Ga  0.5000  0.5000  0.5000 [1 per cell]
Ir  0.0000  0.0000  0.0000 [1 per cell]
Ir  0.0000  0.5000  0.6451 [2 per cell]
Ir  0.5000  0.5000  0.0000 [1 per cell]

=====

17.
The following is a DFT calculation (PBE) of a relaxed structure of MgCo2Mo2.

## Properties
**Energy above the lowest structure with this stoichiometry**: 0 meV/atom
**ΔH_f (0 K)**: 59 kJ/mol of formula units

Lattice parameters (Å, degrees): 7.2228 7.2228 2.7342 90.00 90.00 90.00
Space group P4/mbm (No. 127)
One atom of each set of equivalent atoms:
Mg  0.0000  0.0000  0.0000 [2 per cell]
Co  0.1234  0.3766  0.0000 [4 per cell]
Mo  0.1684  0.6684  0.5000 [4 per cell]

=====

18.
The following is a DFT calculation (PBE) of a relaxed structure of Cu2HPd6.

## Properties
**Energy above the lowest structure with this stoichiometry**: 0 meV/atom

Lattice parameters (Å, degrees): 7.8392 7.8392 7.8392 90.00 90.00 90.00
Space group Fm-3m (No. 225)
One atom of each set of equivalent atoms:
Cu  0.2500  0.2500  0.2500 [8 per cell]
H  0.0000  0.0000  0.0000 [4 per cell]
Pd  0.0000  0.0000  0.2521 [24 per cell]

=====

One value per record, in order, for calculated total energy: -6.510 -5.404 -4.779 -3.839 -7.821 -7.015 -6.111 -7.178 -3.142 -2.895 -4.274 -6.985 -4.946 -4.901 -5.672 -6.371 -7.372 -4.802 eV/atom.
One value per record, in order, for Fermi-level density of states: 0.000 1.513 1.313 0.726 0.694 0.866 1.656 0.972 0.419 1.376 0.602 0.870 0.992 1.390 0.567 0.614 0.655 1.199 states/eV/atom.